Entry 1:
A plane-wave DFT calculation with PBE was carried out for CsTaHg after structural relaxation.

Unit cell a=14.052 b=5.427 c=5.288 alpha=90.00 beta=90.00 gamma=90.00
Element x y z (fractional)
Cs 0.250 0.250 0.249
Cs 0.250 0.750 0.749
Cs 0.750 0.250 0.251
Cs 0.750 0.750 0.751
Ta 0.000 0.250 0.502
Ta 0.000 0.750 0.498
Ta 0.500 0.250 0.998
Ta 0.500 0.750 0.002
Hg 0.000 0.000 0.000
Hg 0.000 0.500 0.000
Hg 0.500 0.000 0.500
Hg 0.500 0.500 0.500

Calculated values
Space-group type: Pnma, No. 62
Energy relative to the lowest polymorph listed for this composition in eV per atom: 0.097
Energy relative to the elements in eV per formula unit: 2.3


Entry 2:
A plane-wave DFT calculation with PBE was carried out for CsTaHg after structural relaxation.

Unit cell a=12.340 b=3.407 c=10.508 alpha=90.00 beta=90.00 gamma=90.00
Element x y z (fractional)
Cs 0.182 0.250 0.086
Cs 0.318 0.750 0.586
Cs 0.682 0.250 0.414
Cs 0.818 0.750 0.914
Ta 0.042 0.250 0.423
Ta 0.458 0.750 0.923
Ta 0.542 0.250 0.077
Ta 0.958 0.750 0.577
Hg 0.075 0.250 0.750
Hg 0.425 0.750 0.250
Hg 0.575 0.250 0.750
Hg 0.925 0.750 0.250

Calculated values
Space-group type: Pnma, No. 62
Energy relative to the lowest polymorph listed for this composition in eV per atom: 0.041
Energy relative to the elements in eV per formula unit: 2.1


Entry 3:
A plane-wave DFT calculation with PBE was carried out for Cs2TaHg after structural relaxation.

Unit cell a=8.071 b=8.071 c=8.071 alpha=100.18 beta=100.18 gamma=130.28
Element x y z (fractional)
Cs 0.097 0.125 0.472
Cs 0.375 0.903 0.028
Cs 0.653 0.625 0.528
Cs 0.875 0.347 0.972
Ta 0.250 0.750 0.500
Ta 0.500 0.500 0.000
Hg 0.000 0.000 0.000
Hg 0.750 0.250 0.500

Calculated values
Space-group type: I-42d, No. 122
Energy relative to the elements in eV per formula unit: 5.4


Entry 4:
A plane-wave DFT calculation with PBE was carried out for CsTbHg after structural relaxation.

Unit cell a=17.646 b=4.053 c=4.053 alpha=60.08 beta=90.00 gamma=90.00
Element x y z (fractional)
Cs 0.169 0.000 0.000
Cs 0.831 0.000 0.000
Tb 0.386 0.663 0.663
Tb 0.614 0.663 0.663
Hg 0.000 0.666 0.666
Hg 0.500 0.996 0.996

Calculated values
Space-group type: Amm2, No. 38
Energy relative to the elements in eV per formula unit: 0.4


Entry 5:
A plane-wave DFT calculation with PBE was carried out for Cs2TbHg2Te4 after structural relaxation.

Unit cell a=9.163 b=9.163 c=8.954 alpha=108.96 beta=108.96 gamma=29.77
Element x y z (fractional)
Cs 0.134 0.134 0.083
Cs 0.866 0.866 0.917
Tb 0.000 0.000 0.500
Hg 0.330 0.330 0.533
Hg 0.670 0.670 0.467
Te 0.187 0.187 0.679
Te 0.499 0.499 0.735
Te 0.501 0.501 0.265
Te 0.813 0.813 0.321

Calculated values
Space-group type: C2/m, No. 12
E_form (uncorrected) in eV/f.u.: -7.3


Entry 6:
A plane-wave DFT calculation with PBE was carried out for Cs3TcHg after structural relaxation.

Unit cell a=6.099 b=6.099 c=6.099 alpha=90.00 beta=90.00 gamma=90.00
Element x y z (fractional)
Cs 0.000 0.000 0.500
Cs 0.000 0.500 0.000
Cs 0.500 0.000 0.000
Tc 0.000 0.000 0.000
Hg 0.500 0.500 0.500

Calculated values
Space-group type: Pm-3m, No. 221
Energy relative to the elements in eV per formula unit: 5.0


| no. | VASP energy (eV/atom) |
| --- | --- |
| 1 | -3.575 |
| 2 | -3.631 |
| 3 | -2.118 |
| 4 | -1.809 |
| 5 | -2.978 |
| 6 | -1.648 |